The following is a DFT calculation (PBE) of an optimized crystal structure of BaNpSiO5.

Cell: 6.103 6.103 7.822 Å, 102.81 102.81 107.38°
Site moments in Bohr magnetons follow the coordinates.
Fractional coordinates of all 16 atoms:
1 O 0.409 0.244 0.108  -0.02
2 O 0.925 0.075 0.750  -0.10
3 O 0.308 0.875 0.626  -0.02
4 O 0.591 0.756 0.892  -0.02
5 O 0.692 0.125 0.374  -0.02
6 O 0.756 0.591 0.392  -0.02
7 O 0.875 0.308 0.126  -0.02
8 O 0.075 0.925 0.250  -0.10
9 O 0.244 0.409 0.608  -0.02
10 O 0.125 0.692 0.874  -0.02
11 Si 0.315 0.685 0.750  0.00
12 Si 0.685 0.315 0.250  0.00
13 Ba 0.660 0.340 0.750  0.01
14 Ba 0.340 0.660 0.250  0.01
15 Np 0.000 0.000 0.000  3.09
16 Np 0.000 0.000 0.500  3.09

Properties
Formation energy from raw total energies   -2.938 eV/atom
VASP energy   -137.16 eV per cell